Below is an optimized crystal structure of CaP3Ir4, with properties calculated at the PBE level.

Results
Its crystal system is tetragonal. As for the electronic total energy: -7.37 eV per atom. The calculation puts the formation energy at -656.0 meV/atom. As for the volume: 15.543 A^3/atom.

```
data_CaP3Ir4
_cell_length_a 4.0147
_cell_length_b 4.0147
_cell_length_c 7.7149
_cell_angle_alpha 90.00
_cell_angle_beta 90.00
_cell_angle_gamma 90.00
_space_group_name_H-M_alt 'P 4/m m m'
_space_group_IT_number 123
_space_group_name_Hall '-P 4 2'
loop_
_atom_site_label
_atom_site_type_symbol
_atom_site_fract_x
_atom_site_fract_y
_atom_site_fract_z
Ca1 Ca 0.0000 0.0000 0.0000
P1 P 0.0000 0.0000 0.5000
P2 P 0.5000 0.5000 0.1550
Ir1 Ir 0.0000 0.5000 0.3139
```


Below is an optimized crystal structure of CaP2Ir, with properties calculated at the PBE level.

Results
Its crystal system is orthorhombic. As for the electronic total energy: -6.02 eV per atom. The calculation puts the formation energy at -594.8 meV/atom. The excess energy over the best structure of this formula in the dataset comes out at 185 meV per atom. As for the volume: 21.723 A^3/atom.

```
data_CaP2Ir
_cell_length_a 4.1803
_cell_length_b 3.7514
_cell_length_c 11.0819
_cell_angle_alpha 90.00
_cell_angle_beta 90.00
_cell_angle_gamma 90.00
_space_group_name_H-M_alt 'A m m 2'
_space_group_IT_number 38
loop_
_space_group_symop_operation_xyz
'x,y,z'
'-x,-y,z'
'-x,y,z'
'x,-y,z'
'x,y+1/2,z+1/2'
'-x,-y+1/2,z+1/2'
'-x,y+1/2,z+1/2'
'x,-y+1/2,z+1/2'
loop_
_atom_site_label
_atom_site_type_symbol
_atom_site_fract_x
_atom_site_fract_y
_atom_site_fract_z
Ca1 Ca 0.0000 0.0000 0.0000
P1 P 0.0000 0.0000 0.7063
P2 P 0.5000 0.0000 0.4035
Ir1 Ir 0.5000 0.0000 0.7829
```


Below is an optimized crystal structure of Ca5P12Ir19, with properties calculated at the PBE level.

Results
Its crystal system is hexagonal. As for the electronic total energy: -7.47 eV per atom. The calculation puts the formation energy at -708.5 meV/atom. As for the volume: 15.459 A^3/atom.

```
data_Ca5P12Ir19
_cell_length_a 12.6817
_cell_length_b 12.6817
_cell_length_c 3.9959
_cell_angle_alpha 90.00
_cell_angle_beta 90.00
_cell_angle_gamma 120.00
_space_group_name_H-M_alt 'P -6 2 m'
_space_group_IT_number 189
_space_group_name_Hall 'P -6 -2'
loop_
_atom_site_label
_atom_site_type_symbol
_atom_site_fract_x
_atom_site_fract_y
_atom_site_fract_z
Ca1 Ca 0.0000 0.1824 0.0000
Ca2 Ca 0.3333 0.6667 0.5000
P1 P 0.0000 0.3580 0.5000
P2 P 0.0000 0.8197 0.5000
P3 P 0.1731 0.6887 0.0000
Ir1 Ir 0.0000 0.0000 0.5000
Ir2 Ir 0.0000 0.5386 0.5000
Ir3 Ir 0.0000 0.7125 0.0000
Ir4 Ir 0.1304 0.4918 0.0000
Ir5 Ir 0.1807 0.8025 0.5000
```


Below is an optimized crystal structure of CaP2Ir, with properties calculated at the PBE level.

Results
Its crystal system is tetragonal. As for the electronic total energy: -5.45 eV per atom. The calculation puts the formation energy at -27.4 meV/atom. The excess energy over the best structure of this formula in the dataset comes out at 752 meV per atom. As for the volume: 16.608 A^3/atom.

```
data_CaP2Ir
_cell_length_a 3.8175
_cell_length_b 3.8175
_cell_length_c 9.1172
_cell_angle_alpha 90.00
_cell_angle_beta 90.00
_cell_angle_gamma 90.00
_space_group_name_H-M_alt 'I -4 m 2'
_space_group_IT_number 119
_space_group_name_Hall 'I -4 -2'
loop_
_atom_site_label
_atom_site_type_symbol
_atom_site_fract_x
_atom_site_fract_y
_atom_site_fract_z
Ca1 Ca 0.0000 0.0000 0.0000
P1 P 0.0000 0.0000 0.5000
P2 P 0.0000 0.5000 0.2500
Ir1 Ir 0.0000 0.5000 0.7500
```


Below is an optimized crystal structure of Ca4PIr, with properties calculated at the PBE level.

Results
Its crystal system is cubic. As for the electronic total energy: -3.12 eV per atom. The calculation puts the formation energy at 596.7 meV/atom. As for the volume: 24.428 A^3/atom.

```
data_Ca4PIr
_cell_length_a 8.3695
_cell_length_b 8.3695
_cell_length_c 8.3695
_cell_angle_alpha 90.00
_cell_angle_beta 90.00
_cell_angle_gamma 90.00
_space_group_name_H-M_alt 'F -4 3 m'
_space_group_IT_number 216
_space_group_name_Hall 'F -4 2 3'
loop_
_atom_site_label
_atom_site_type_symbol
_atom_site_fract_x
_atom_site_fract_y
_atom_site_fract_z
Ca1 Ca 0.1244 0.1244 0.1244
P1 P 0.0000 0.0000 0.5000
Ir1 Ir 0.2500 0.2500 0.7500
```


Below is an optimized crystal structure of CaPIr2, with properties calculated at the PBE level.

Results
Its crystal system is trigonal. As for the electronic total energy: -6.65 eV per atom. The calculation puts the formation energy at -365.9 meV/atom. As for the volume: 19.547 A^3/atom.

```
data_CaPIr2
_cell_length_a 4.1408
_cell_length_b 4.1408
_cell_length_c 15.7965
_cell_angle_alpha 90.00
_cell_angle_beta 90.00
_cell_angle_gamma 120.00
_space_group_name_H-M_alt 'R -3 m'
_space_group_IT_number 166
_space_group_name_Hall '-R 3 2"'
loop_
_atom_site_label
_atom_site_type_symbol
_atom_site_fract_x
_atom_site_fract_y
_atom_site_fract_z
Ca1 Ca 0.0000 0.0000 0.0000
P1 P 0.0000 0.0000 0.5000
Ir1 Ir 0.0000 0.0000 0.2002
```